[1]
A plane-wave DFT calculation with PBE was carried out for a relaxed structure of V9Mo4Ru11.

Unit cell a=2.881 b=10.972 c=10.972 alpha=101.24 beta=90.00 gamma=90.00
Atoms (fractional coordinates):
Ru1 0.000 0.797 0.797
Ru2 0.000 0.203 0.203
Ru3 0.000 0.609 0.952
Ru4 0.000 0.952 0.609
Ru5 0.000 0.048 0.391
Ru6 0.000 0.391 0.048
Ru7 0.000 0.187 0.813
Ru8 0.000 0.361 0.639
Ru9 0.000 0.813 0.187
Ru10 0.000 0.639 0.361
Ru11 0.000 0.000 0.000
V1 0.500 0.989 0.798
V2 0.500 0.202 0.011
V3 0.500 0.798 0.989
V4 0.500 0.500 0.500
V5 0.500 0.399 0.846
V6 0.500 0.154 0.601
V7 0.500 0.846 0.399
V8 0.500 0.601 0.154
V9 0.500 0.011 0.202
Mo1 0.500 0.578 0.737
Mo2 0.500 0.263 0.422
Mo3 0.500 0.737 0.578
Mo4 0.500 0.422 0.263

Space-group type: Cmmm, No. 65
E_form: -141 meV per atom

[2]
A plane-wave DFT calculation with PBE was carried out for a relaxed structure of V6MoRu2.

Unit cell a=4.141 b=5.842 c=7.112 alpha=114.25 beta=107.00 gamma=90.00
Atoms (fractional coordinates):
Ru1 0.333 0.333 0.665
Ru2 0.667 0.667 0.335
V1 0.833 0.084 0.665
V2 0.833 0.581 0.665
V3 0.500 0.747 0.000
V4 0.500 0.253 0.000
V5 0.167 0.916 0.335
V6 0.167 0.419 0.335
Mo1 0.000 0.000 0.000

Energy relative to the lowest polymorph listed for this composition: 650 meV/atom
Space-group type: C2/m, No. 12
E_form: 480 meV per atom

[3]
A plane-wave DFT calculation with PBE was carried out for a relaxed structure of VMoRu2.

Unit cell a=5.319 b=5.319 c=5.386 alpha=114.92 beta=114.92 gamma=98.44
Atoms (fractional coordinates):
Mo1 0.223 0.777 0.000
Mo2 0.777 0.223 0.000
Ru1 0.750 0.250 0.500
Ru2 0.250 0.750 0.500
Ru3 0.280 0.280 0.000
Ru4 0.720 0.720 0.000
V1 0.752 0.752 0.503
V2 0.248 0.248 0.497

Energy relative to the lowest polymorph listed for this composition: 73 meV/atom
Space-group type: Fmmm, No. 69
E_form: -29 meV per atom